Crystalline Mg2Al3Cu4 at its relaxed geometry. Source: Alexandria via LeMat-Bulk, functional PBE.

```
Mg2Al3Cu4
1.0
2.662 -7.748 0.000
2.662 7.748 0.000
0.000 0.000 6.740
Mg Al Cu
4 6 8
Direct
0.092 0.908 0.894
0.408 0.592 0.394
0.592 0.408 0.606
0.908 0.092 0.106
0.000 0.000 0.500
0.007 0.493 0.750
0.493 0.007 0.250
0.500 0.500 0.000
0.507 0.993 0.750
0.993 0.507 0.250
0.162 0.838 0.515
0.172 0.328 0.750
0.328 0.172 0.250
0.338 0.662 0.015
0.662 0.338 0.985
0.672 0.828 0.750
0.828 0.672 0.250
0.838 0.162 0.485
```

Results
The formation energy is -1.6 eV/f.u. For the theoretical density, the calculation gives 4.58 Mg/m³. As for the space group: No. 64.

---

Crystalline DyTiBi3 at its relaxed geometry. Source: Alexandria via LeMat-Bulk, functional PBE.

```
DyTiBi3
1.0
13.185 0.000 0.000
0.000 6.587 0.000
0.000 0.000 6.338
Dy Ti Bi
4 4 12
Direct
0.186 0.009 0.250
0.186 0.491 0.750
0.814 0.509 0.250
0.814 0.991 0.750
0.403 0.750 0.000
0.403 0.750 0.500
0.597 0.250 0.000
0.597 0.250 0.500
0.003 0.750 0.000
0.003 0.750 0.500
0.262 0.507 0.250
0.262 0.993 0.750
0.429 0.107 0.250
0.429 0.393 0.750
0.571 0.607 0.250
0.571 0.893 0.750
0.738 0.007 0.250
0.738 0.493 0.750
0.997 0.250 0.000
0.997 0.250 0.500
```

Results
The formation energy is -2.1 eV/f.u. For the theoretical density, the calculation gives 10.10 Mg/m³. As for the space group: No. 57.

---

Crystalline K2CoSe at its relaxed geometry. Source: Alexandria via LeMat-Bulk, functional PBE.

```
K2CoSe
1.0
-6.194 6.194 2.176
6.194 -6.194 2.176
6.194 6.194 -2.176
K Co Se
4 2 2
Direct
0.375 0.174 0.299
0.826 0.125 0.201
0.875 0.076 0.701
0.924 0.625 0.799
0.250 0.750 0.500
0.500 0.500 0.000
0.000 0.000 0.000
0.750 0.250 0.500
```

Results
Its formation energy (no corrections) is -130 meV per atom. For the theoretical density, the calculation gives 2.15 Mg/m³. As for the space group: No. 122.

---

Crystalline La4NdAl2 at its relaxed geometry. Source: Alexandria via LeMat-Bulk, functional PBE.

```
La4NdAl2
1.0
-2.972 2.972 6.439
2.972 -2.972 6.439
2.972 2.972 -6.439
La Nd Al
4 1 2
Direct
0.000 0.500 0.500
0.250 0.750 0.500
0.500 0.000 0.500
0.750 0.250 0.500
0.000 0.000 0.000
0.388 0.388 0.000
0.612 0.612 0.000
```

Results
The formation energy is 1.0 eV/f.u. The energy above the most stable polymorph in this dataset comes out at 311 meV per atom. For the theoretical density, the calculation gives 5.50 Mg/m³. As for the space group: No. 139.

---

Crystalline V2TcCSe at its relaxed geometry. Source: Alexandria via LeMat-Bulk, functional PBE.

```
V2TcCSe
1.0
3.897 0.000 0.000
0.000 3.897 0.000
0.000 0.000 4.478
V Tc C Se
2 1 1 1
Direct
0.000 0.500 0.000
0.500 0.000 0.000
0.000 0.000 0.500
0.500 0.500 0.000
0.500 0.500 0.500
```

Results
Its formation energy (no corrections) is 587 meV per atom. For the theoretical density, the calculation gives 7.10 Mg/m³. As for the space group: No. 123.

---

Crystalline Ho4TmNi2 at its relaxed geometry. Source: Alexandria via LeMat-Bulk, functional PBE.

```
Ho4TmNi2
1.0
7.467 0.000 0.000
0.000 6.301 0.000
-2.982 0.000 7.281
Ho Tm Ni
8 2 4
Direct
0.027 0.250 0.387
0.250 0.750 0.342
0.408 0.004 0.769
0.408 0.496 0.769
0.592 0.504 0.231
0.592 0.996 0.231
0.750 0.250 0.658
0.973 0.750 0.613
0.152 0.250 0.029
0.848 0.750 0.971
0.252 0.750 0.994
0.382 0.250 0.412
0.618 0.750 0.588
0.748 0.250 0.006
```

Results
The formation energy is -1.1 eV/f.u. For the theoretical density, the calculation gives 9.17 Mg/m³. As for the space group: No. 11.

---

Crystalline CuBiPd6 at its relaxed geometry. Source: Alexandria via LeMat-Bulk, functional PBE.

```
CuBiPd6
1.0
4.053 0.000 0.000
0.000 4.053 0.000
0.000 0.000 7.900
Cu Bi Pd
1 1 6
Direct
0.000 0.000 0.000
0.000 0.000 0.500
0.000 0.500 0.233
0.000 0.500 0.767
0.500 0.000 0.233
0.500 0.000 0.767
0.500 0.500 0.000
0.500 0.500 0.500
```

Results
The formation energy is -1.2 eV/f.u. The energy above the most stable polymorph in this dataset comes out at 0 meV per atom. For the theoretical density, the calculation gives 11.66 Mg/m³. As for the space group: No. 123.

---

Crystalline La3Nd4Er2 at its relaxed geometry. Source: Alexandria via LeMat-Bulk, functional PBE.

```
La3Nd4Er2
1.0
5.891 -2.938 0.000
5.891 2.938 0.000
-1.935 0.000 9.093
La Nd Er
3 4 2
Direct
0.000 0.000 0.000
0.119 0.119 0.685
0.881 0.881 0.315
0.227 0.227 0.372
0.321 0.321 0.040
0.679 0.679 0.960
0.773 0.773 0.628
0.439 0.439 0.694
0.561 0.561 0.306
```

Results
The formation energy is 0.9 eV/f.u. The energy above the most stable polymorph in this dataset comes out at 0 meV per atom. For the theoretical density, the calculation gives 7.01 Mg/m³. As for the space group: No. 12.

---

Crystalline LaDyHo5Tm2 at its relaxed geometry. Source: Alexandria via LeMat-Bulk, functional PBE.

```
LaDyHo5Tm2
1.0
2.794 -9.893 0.000
2.794 9.893 0.000
0.000 0.000 10.474
La Dy Ho Tm
2 2 10 4
Direct
0.083 0.917 0.500
0.917 0.083 0.000
0.301 0.699 0.066
0.699 0.301 0.566
0.022 0.978 0.788
0.113 0.887 0.076
0.202 0.798 0.763
0.220 0.780 0.367
0.483 0.517 0.078
0.517 0.483 0.578
0.780 0.220 0.867
0.798 0.202 0.263
0.887 0.113 0.576
0.978 0.022 0.288
0.387 0.613 0.371
0.388 0.612 0.786
0.612 0.388 0.286
0.613 0.387 0.871
```

Results
The formation energy is 1.5 eV/f.u. For the theoretical density, the calculation gives 8.40 Mg/m³. As for the space group: No. 36.

---

Crystalline InAg2Se2 at its relaxed geometry. Source: Alexandria via LeMat-Bulk, functional PBE.

```
InAg2Se2
1.0
8.357 0.000 0.000
0.000 8.357 0.000
0.000 0.000 3.170
In Ag Se
2 4 4
Direct
0.000 0.000 0.000
0.500 0.500 0.000
0.128 0.372 0.000
0.372 0.872 0.000
0.628 0.128 0.000
0.872 0.628 0.000
0.171 0.671 0.500
0.329 0.171 0.500
0.671 0.829 0.500
0.829 0.329 0.500
```

Results
Its formation energy (no corrections) is 5 meV per atom. The energy above the most stable polymorph in this dataset comes out at 91 meV per atom. For the theoretical density, the calculation gives 7.33 Mg/m³. As for the space group: No. 127.

---

Crystalline CdP2Au at its relaxed geometry. Source: Alexandria via LeMat-Bulk, functional PBE.

```
CdP2Au
1.0
3.815 0.000 0.000
0.000 3.815 0.000
0.000 0.000 5.439
Cd P Au
1 2 1
Direct
0.000 0.000 0.000
0.500 0.500 0.307
0.500 0.500 0.693
0.000 0.000 0.500
```

Results
The formation energy is 1.3 eV/f.u. For the theoretical density, the calculation gives 7.79 Mg/m³. As for the space group: No. 123.

---

Crystalline Ac4Cd2Co at its relaxed geometry. Source: Alexandria via LeMat-Bulk, functional PBE.

```
Ac4Cd2Co
1.0
8.693 -2.116 0.000
8.693 2.116 0.000
-1.951 0.000 6.691
Ac Cd Co
4 2 1
Direct
0.069 0.069 0.280
0.361 0.361 0.160
0.639 0.639 0.840
0.931 0.931 0.720
0.261 0.261 0.655
0.739 0.739 0.345
0.500 0.500 0.000
```

Results
The formation energy is -0.8 eV/f.u. The energy above the most stable polymorph in this dataset comes out at 0 meV per atom. For the theoretical density, the calculation gives 8.04 Mg/m³. As for the space group: No. 12.